A.
The following is a DFT calculation (GGA-PBE) of a relaxed structure of Pm3YTm.

It has space group P-1 (No. 2), with a = 3.659 Å, b = 10.463 Å, c = 17.917 Å, α = 96.22°, β = 95.86° and γ = 100.06°. The asymmetric unit holds Pm at (0.070, 0.495, 0.144), Pm at (0.081, 0.219, 0.443), Pm at (0.091, 0.954, 0.729), Pm at (0.239, 0.557, 0.420), Pm at (0.245, 0.848, 0.142), Pm at (0.415, 0.341, 0.990), Y at (0.149, 0.881, 0.916), Y at (0.444, 0.665, 0.724), Tm at (0.262, 0.305, 0.719) and Tm at (0.410, 0.911, 0.410).

The density of states at the Fermi level comes out at 26.6 states/eV/cell.

B.
The following is a DFT calculation (GGA-PBE) of a relaxed structure of Pm3YTm.

It has space group Cmc2_1 (No. 36), with a = 5.511 Å, b = 16.909 Å, c = 7.127 Å, α = 90.00°, β = 90.00° and γ = 90.00°. The asymmetric unit holds Pm at (0.000, 0.000, 0.000), Pm at (0.000, 0.200, 0.498), Pm at (0.000, 0.390, 0.250), Y at (0.000, 0.390, 0.748) and Tm at (0.000, 0.199, 0.999).

The density of states at the Fermi level comes out at 29.6 states/eV/cell.

Verdict on stability: A comes out at the bottom.

A.
The following is a DFT calculation (GGA-PBE) of a relaxed structure of Pm2YTm5.

It has space group C2/c (No. 15), with a = 16.092 Å, b = 9.792 Å, c = 6.497 Å, α = 90.00°, β = 98.66° and γ = 90.00°. The asymmetric unit holds Pm at (0.078, 0.245, 0.115), Y at (0.250, 0.250, 0.000), Tm at (0.000, 0.443, 0.750), Tm at (0.101, 0.090, 0.646) and Tm at (0.196, 0.412, 0.522).

The density of states at the Fermi level comes out at 46.8 states/eV/cell.

B.
The following is a DFT calculation (GGA-PBE) of a relaxed structure of Pm2YTm5.

It has space group Pbam (No. 55), with a = 7.079 Å, b = 14.159 Å, c = 4.999 Å, α = 90.00°, β = 90.00° and γ = 90.00°. The asymmetric unit holds Pm at (0.248, 0.126, 0.000), Y at (0.000, 0.500, 0.500), Tm at (0.000, 0.000, 0.500), Tm at (0.001, 0.751, 0.500) and Tm at (0.250, 0.374, 0.000).

The density of states at the Fermi level comes out at 22.5 states/eV/cell.

Verdict on stability: A comes out at the bottom.

A.
The following is a DFT calculation (GGA-PBE) of a relaxed structure of Pm2Y3Tm3.

It has space group Cmcm (No. 63), with a = 5.551 Å, b = 11.849 Å, c = 15.956 Å, α = 90.00°, β = 90.00° and γ = 90.00°. The asymmetric unit holds Pm at (0.000, 0.220, 0.129), Y at (0.000, 0.384, 0.551), Y at (0.000, 0.460, 0.250), Tm at (0.000, 0.082, 0.588) and Tm at (0.000, 0.259, 0.750).

The density of states at the Fermi level comes out at 61.7 states/eV/cell.

B.
The following is a DFT calculation (GGA-PBE) of a relaxed structure of Pm2Y3Tm3.

It has space group C2/m (No. 12), with a = 7.143 Å, b = 14.232 Å, c = 6.157 Å, α = 90.00°, β = 125.46° and γ = 90.00°. The asymmetric unit holds Pm at (0.000, 0.249, 0.000), Y at (0.000, 0.376, 0.500), Y at (0.000, 0.500, 0.000), Tm at (0.000, 0.000, 0.000) and Tm at (0.000, 0.123, 0.500).

The density of states at the Fermi level comes out at 24.0 states/eV/cell.

Verdict on stability: A comes out at the bottom.

A.
The following is a DFT calculation (GGA-PBE) of a relaxed structure of PmY7Tm4.

It has space group P-1 (No. 2), with a = 6.200 Å, b = 7.164 Å, c = 8.808 Å, α = 89.95°, β = 76.33° and γ = 89.90°. The asymmetric unit holds Pm at (0.000, 0.000, 0.000), Y at (0.000, 0.500, 0.000), Y at (0.222, 0.000, 0.335), Y at (0.281, 0.748, 0.664), Y at (0.499, 0.252, 0.999), Tm at (0.220, 0.500, 0.337) and Tm at (0.277, 0.252, 0.665).

The density of states at the Fermi level comes out at 17.1 states/eV/cell.

B.
The following is a DFT calculation (GGA-PBE) of a relaxed structure of PmY7Tm4.

It has space group C2/m (No. 12), with a = 15.970 Å, b = 5.849 Å, c = 9.388 Å, α = 90.00°, β = 117.43° and γ = 90.00°. The asymmetric unit holds Pm at (0.000, 0.000, 0.000), Y at (0.000, 0.500, 0.000), Y at (0.084, 0.000, 0.448), Y at (0.213, 0.000, 0.240), Y at (0.216, 0.000, 0.881), Tm at (0.071, 0.500, 0.699) and Tm at (0.170, 0.500, 0.383).

The density of states at the Fermi level comes out at 43.7 states/eV/cell.

Verdict on stability: B comes out at the bottom.

A.
The following is a DFT calculation (GGA-PBE) of a relaxed structure of PmYTm.

It has space group P2_1/m (No. 11), with a = 3.519 Å, b = 5.347 Å, c = 10.438 Å, α = 90.00°, β = 99.63° and γ = 90.00°. The asymmetric unit holds Pm at (0.041, 0.250, 0.088), Y at (0.380, 0.250, 0.755) and Tm at (0.207, 0.250, 0.417).

The density of states at the Fermi level comes out at 10.4 states/eV/cell.

B.
The following is a DFT calculation (GGA-PBE) of a relaxed structure of PmYTm.

It has space group P4/nmm (No. 129, origin choice 2), with a = 4.858 Å, b = 4.858 Å, c = 8.625 Å, α = 90.00°, β = 90.00° and γ = 90.00°. The asymmetric unit holds Pm at (0.250, 0.750, 0.000), Y at (0.250, 0.250, 0.309) and Tm at (0.250, 0.250, 0.706).

The density of states at the Fermi level comes out at 7.7 states/eV/cell.

Verdict on stability: B comes out at the bottom.

A.
The following is a DFT calculation (GGA-PBE) of a relaxed structure of Pm2Y7Tm3.

It has space group P2/m (No. 10), with a = 5.782 Å, b = 3.596 Å, c = 18.692 Å, α = 90.00°, β = 93.81° and γ = 90.00°. The asymmetric unit holds Pm at (0.203, 0.000, 0.295), Y at (0.176, 0.500, 0.142), Y at (0.241, 0.000, 0.463), Y at (0.320, 0.000, 0.822), Y at (0.500, 0.500, 0.000), Tm at (0.000, 0.000, 0.000) and Tm at (0.281, 0.500, 0.631).

The density of states at the Fermi level comes out at 15.5 states/eV/cell.

B.
The following is a DFT calculation (GGA-PBE) of a relaxed structure of Pm2Y7Tm3.

It has space group P2/m (No. 10), with a = 6.162 Å, b = 5.484 Å, c = 12.174 Å, α = 90.00°, β = 90.64° and γ = 90.00°. The asymmetric unit holds Pm at (0.093, 0.000, 0.278), Y at (0.057, 0.500, 0.823), Y at (0.264, 0.000, 0.544), Y at (0.420, 0.000, 0.830), Y at (0.500, 0.500, 0.000), Tm at (0.000, 0.000, 0.000) and Tm at (0.445, 0.500, 0.344).

The density of states at the Fermi level comes out at 20.7 states/eV/cell.

Verdict on stability: B comes out at the bottom.

A.
The following is a DFT calculation (GGA-PBE) of a relaxed structure of Pm3Y2Tm4.

It has space group C2/c (No. 15), with a = 16.562 Å, b = 11.616 Å, c = 6.027 Å, α = 90.00°, β = 97.47° and γ = 90.00°. The asymmetric unit holds Pm at (0.000, 0.109, 0.250), Pm at (0.166, 0.397, 0.087), Y at (0.119, 0.131, 0.811), Tm at (0.049, 0.368, 0.520) and Tm at (0.219, 0.137, 0.349).

The density of states at the Fermi level comes out at 53.7 states/eV/cell.

B.
The following is a DFT calculation (GGA-PBE) of a relaxed structure of Pm3Y2Tm4.

It has space group C2/m (No. 12), with a = 15.096 Å, b = 5.045 Å, c = 7.956 Å, α = 90.00°, β = 108.29° and γ = 90.00°. The asymmetric unit holds Pm at (0.000, 0.000, 0.000), Pm at (0.113, 0.000, 0.666), Y at (0.057, 0.500, 0.332), Tm at (0.168, 0.500, 0.999) and Tm at (0.222, 0.000, 0.332).

The density of states at the Fermi level comes out at 25.5 states/eV/cell.

Verdict on stability: A comes out at the bottom.

A.
The following is a DFT calculation (GGA-PBE) of a relaxed structure of PmY2Tm4.

It has space group P2_1/m (No. 11), with a = 6.029 Å, b = 6.550 Å, c = 11.454 Å, α = 90.00°, β = 103.52° and γ = 90.00°. The asymmetric unit holds Pm at (0.046, 0.250, 0.364), Y at (0.162, 0.250, 0.949), Y at (0.396, 0.750, 0.512), Tm at (0.145, 0.250, 0.664), Tm at (0.276, 0.750, 0.919) and Tm at (0.347, 0.508, 0.209).

The density of states at the Fermi level comes out at 23.7 states/eV/cell.

B.
The following is a DFT calculation (GGA-PBE) of a relaxed structure of PmY2Tm4.

It has space group C2/m (No. 12), with a = 16.564 Å, b = 3.501 Å, c = 8.701 Å, α = 90.00°, β = 119.54° and γ = 90.00°. The asymmetric unit holds Pm at (0.000, 0.000, 0.000), Y at (0.070, 0.000, 0.430), Tm at (0.144, 0.500, 0.837) and Tm at (0.206, 0.500, 0.293).

The density of states at the Fermi level comes out at 21.5 states/eV/cell.

Verdict on stability: A comes out at the bottom.

A.
The following is a DFT calculation (GGA-PBE) of a relaxed structure of Pm3Y4Tm2.

It has space group C2/m (No. 12), with a = 11.244 Å, b = 5.862 Å, c = 9.086 Å, α = 90.00°, β = 100.80° and γ = 90.00°. The asymmetric unit holds Pm at (0.000, 0.000, 0.000), Pm at (0.120, 0.000, 0.684), Y at (0.169, 0.500, 0.976), Y at (0.222, 0.000, 0.357) and Tm at (0.058, 0.500, 0.322).

The density of states at the Fermi level comes out at 36.0 states/eV/cell.

B.
The following is a DFT calculation (GGA-PBE) of a relaxed structure of Pm3Y4Tm2.

It has space group C2/m (No. 12), with a = 15.176 Å, b = 5.062 Å, c = 8.009 Å, α = 90.00°, β = 108.45° and γ = 90.00°. The asymmetric unit holds Pm at (0.000, 0.000, 0.000), Pm at (0.111, 0.000, 0.668), Y at (0.056, 0.500, 0.332), Y at (0.222, 0.000, 0.331) and Tm at (0.168, 0.500, 0.000).

The density of states at the Fermi level comes out at 26.0 states/eV/cell.

Verdict on stability: A comes out at the bottom.

A.
The following is a DFT calculation (GGA-PBE) of a relaxed structure of PmY2Tm6.

It has space group P-6m2 (No. 187), with a = 3.5763 Å, b = 3.5763 Å, c = 25.7943 Å, α = 90.00°, β = 90.00° and γ = 120.00°. The asymmetric unit holds Pm at (0.0000, 0.0000, 0.0000), Y at (0.3333, 0.6667, 0.3277), Tm at (0.0000, 0.0000, 0.2181), Tm at (0.0000, 0.0000, 0.4355) and Tm at (0.3333, 0.6667, 0.1116).

The density of states at the Fermi level comes out at 15.7 states/eV/cell.

B.
The following is a DFT calculation (GGA-PBE) of a relaxed structure of PmY2Tm6.

It has space group P4_2/mnm (No. 136), with a = 10.569 Å, b = 10.569 Å, c = 4.993 Å, α = 90.00°, β = 90.00° and γ = 90.00°. The asymmetric unit holds Pm at (0.000, 0.000, 0.000), Y at (0.168, 0.168, 0.500), Tm at (0.001, 0.335, 0.000) and Tm at (0.168, 0.832, 0.500).

The density of states at the Fermi level comes out at 23.3 states/eV/cell.

Verdict on stability: A comes out at the bottom.